(1)
VASP calculation (PBE-GGA) on NaAs after structural relaxation.

theoretical density: 3.2 g cm⁻³
VASP energy: -5.24 eV/f.u.
formation energy from the elements: 0.730 eV/f.u.

a = 5.895 Å, b = 5.895 Å, c = 5.895 Å
α = 90.00°, β = 90.00°, γ = 90.00°
Atoms (fractional coordinates):
1 Na 0.500 0.500 0.000
2 Na 0.000 0.500 0.500
3 Na 0.000 0.000 0.000
4 As 0.500 0.500 0.500
5 As 0.000 0.000 0.500
6 Na 0.500 0.000 0.500
7 As 0.000 0.500 0.000
8 As 0.500 0.000 0.000

(2)
VASP calculation (PBE-GGA) on NaAs after structural relaxation.

theoretical density: 3.3 g cm⁻³
VASP energy: -6.66 eV/f.u.
formation energy from the elements: -0.690 eV/f.u.

a = 4.824 Å, b = 3.733 Å, c = 5.961 Å
α = 90.00°, β = 113.82°, γ = 90.00°
Atoms (fractional coordinates):
1 Na 0.135 0.750 0.273
2 Na 0.865 0.250 0.727
3 As 0.423 0.750 0.843
4 As 0.577 0.250 0.157

(3)
VASP calculation (PBE-GGA) on NaAs after structural relaxation.

theoretical density: 2.0 g cm⁻³
VASP energy: -4.73 eV/f.u.
formation energy from the elements: 1.237 eV/f.u.

a = 6.823 Å, b = 6.823 Å, c = 6.823 Å
α = 90.00°, β = 90.00°, γ = 90.00°
Site moments in Bohr magnetons follow the coordinates.
Atoms (fractional coordinates):
1 Na 0.250 0.250 0.250  0.02
2 Na 0.750 0.250 0.750  0.02
3 As 0.500 0.500 0.000  0.84
4 As 0.500 0.000 0.500  0.84
5 As 0.000 0.000 0.000  0.84
6 As 0.000 0.500 0.500  0.84
7 Na 0.250 0.750 0.750  0.02
8 Na 0.750 0.750 0.250  0.02

(4)
VASP calculation (PBE-GGA) on NaAs after structural relaxation.

theoretical density: 3.8 g cm⁻³
VASP energy: -6.61 eV/f.u.
formation energy from the elements: -0.637 eV/f.u.

a = 6.414 Å, b = 8.908 Å, c = 3.031 Å
α = 90.00°, β = 90.00°, γ = 90.00°
Atoms (fractional coordinates):
1 As 0.305 0.000 0.500
2 Na 0.000 0.779 0.000
3 As 0.195 0.500 0.500
4 Na 0.500 0.721 0.000
5 As 0.805 0.500 0.500
6 As 0.695 0.000 0.500
7 Na 0.000 0.221 0.000
8 Na 0.500 0.279 0.000

(5)
VASP calculation (PBE-GGA) on NaAs after structural relaxation.

theoretical density: 3.3 g cm⁻³
VASP energy: -6.75 eV/f.u.
formation energy from the elements: -0.785 eV/f.u.

a = 5.951 Å, b = 6.288 Å, c = 11.649 Å
α = 63.19°, β = 90.00°, γ = 90.00°
Atoms (fractional coordinates):
1 As 0.839 0.312 0.881
2 As 0.661 0.312 0.381
3 Na 0.163 0.235 0.468
4 Na 0.663 0.765 0.032
5 Na 0.337 0.235 0.968
6 As 0.894 0.680 0.289
7 Na 0.110 0.781 0.830
8 As 0.606 0.680 0.789
9 Na 0.890 0.219 0.170
10 As 0.106 0.320 0.711
11 As 0.339 0.688 0.619
12 As 0.394 0.320 0.211
13 Na 0.837 0.765 0.532
14 Na 0.390 0.781 0.330
15 As 0.161 0.688 0.119
16 Na 0.610 0.219 0.670

(6)
VASP calculation (PBE-GGA) on NaAs after structural relaxation.

theoretical density: 2.8 g cm⁻³
VASP energy: -6.19 eV/f.u.
formation energy from the elements: -0.219 eV/f.u.

a = 6.347 Å, b = 6.347 Å, c = 5.824 Å
α = 90.00°, β = 90.00°, γ = 90.00°
Site moments in Bohr magnetons follow the coordinates.
Atoms (fractional coordinates):
1 Na 0.808 0.192 0.000  0.01
2 Na 0.692 0.692 0.500  0.01
3 Na 0.192 0.808 0.000  0.01
4 As 0.870 0.130 0.500  0.14
5 As 0.370 0.370 0.000  0.14
6 Na 0.308 0.308 0.500  0.01
7 As 0.630 0.630 0.000  0.14
8 As 0.130 0.870 0.500  0.14

(7)
VASP calculation (PBE-GGA) on NaAs after structural relaxation.

theoretical density: 2.7 g cm⁻³
VASP energy: -6.32 eV/f.u.
formation energy from the elements: -0.347 eV/f.u.

a = 11.373 Å, b = 11.373 Å, c = 3.682 Å
α = 90.00°, β = 90.00°, γ = 90.00°
Atoms (fractional coordinates):
1 Na 0.809 0.931 0.000
2 Na 0.931 0.191 0.000
3 As 0.591 0.782 0.000
4 As 0.218 0.591 0.000
5 As 0.598 0.935 0.500
6 Na 0.191 0.069 0.000
7 As 0.782 0.409 0.000
8 Na 0.243 0.372 0.500
9 Na 0.069 0.809 0.000
10 Na 0.372 0.757 0.500
11 Na 0.757 0.628 0.500
12 Na 0.628 0.243 0.500
13 As 0.409 0.218 0.000
14 As 0.402 0.065 0.500
15 As 0.065 0.598 0.500
16 As 0.935 0.402 0.500

(8)
VASP calculation (PBE-GGA) on NaAs after structural relaxation.

theoretical density: 3.2 g cm⁻³
VASP energy: -6.65 eV/f.u.
formation energy from the elements: -0.684 eV/f.u.

a = 4.439 Å, b = 4.439 Å, c = 10.816 Å
α = 101.84°, β = 101.84°, γ = 90.00°
Atoms (fractional coordinates):
1 As 0.155 0.155 0.310
2 As 0.905 0.405 0.810
3 Na 0.053 0.553 0.107
4 Na 0.697 0.697 0.393
5 Na 0.303 0.303 0.607
6 Na 0.447 0.947 0.893
7 As 0.595 0.095 0.190
8 As 0.845 0.845 0.690

(9)
VASP calculation (PBE-GGA) on NaAs after structural relaxation.

theoretical density: 3.2 g cm⁻³
VASP energy: -6.50 eV/f.u.
formation energy from the elements: -0.527 eV/f.u.

a = 14.752 Å, b = 3.726 Å, c = 5.543 Å
α = 90.00°, β = 90.00°, γ = 90.00°
Atoms (fractional coordinates):
1 As 0.133 0.268 0.335
2 Na 0.296 0.764 0.335
3 Na 0.704 0.764 0.335
4 As 0.000 0.268 0.588
5 Na 0.500 0.234 0.574
6 As 0.367 0.732 0.835
7 As 0.867 0.268 0.335
8 Na 0.000 0.766 0.074
9 As 0.500 0.732 0.088
10 Na 0.796 0.236 0.835
11 As 0.633 0.732 0.835
12 Na 0.204 0.236 0.835

(10)
VASP calculation (PBE-GGA) on NaAs after structural relaxation.

theoretical density: 1.8 g cm⁻³
VASP energy: -5.63 eV/f.u.
formation energy from the elements: 0.338 eV/f.u.

a = 9.007 Å, b = 9.007 Å, c = 9.007 Å
α = 90.00°, β = 90.00°, γ = 90.00°
Site moments in Bohr magnetons follow the coordinates.
Atoms (fractional coordinates):
1 Na 0.293 0.707 0.293  0.01
2 Na 0.293 0.293 0.707  0.01
3 Na 0.793 0.207 0.793  0.01
4 As 0.104 0.896 0.104  0.13
5 As 0.104 0.104 0.896  0.13
6 As 0.604 0.396 0.604  0.13
7 As 0.896 0.104 0.104  0.13
8 Na 0.707 0.707 0.707  0.01
9 Na 0.207 0.207 0.207  0.01
10 As 0.604 0.604 0.396  0.13
11 As 0.396 0.604 0.604  0.13
12 Na 0.793 0.793 0.207  0.01
13 As 0.396 0.396 0.396  0.13
14 Na 0.707 0.293 0.293  0.01
15 As 0.896 0.896 0.896  0.13
16 Na 0.207 0.793 0.793  0.01

(11)
VASP calculation (PBE-GGA) on NaAs after structural relaxation.

theoretical density: 1.7 g cm⁻³
VASP energy: -4.72 eV/f.u.
formation energy from the elements: 1.251 eV/f.u.

a = 8.301 Å, b = 8.301 Å, c = 8.301 Å
α = 90.00°, β = 90.00°, γ = 90.00°
Site moments in Bohr magnetons follow the coordinates.
Atoms (fractional coordinates):
1 Na 0.000 0.500 0.250  0.01
2 Na 0.000 0.500 0.750  0.01
3 As 0.500 0.000 0.250  0.71
4 As 0.000 0.250 0.500  0.71
5 Na 0.500 0.250 0.000  0.01
6 As 0.000 0.750 0.500  0.71
7 Na 0.500 0.750 0.000  0.01
8 As 0.500 0.000 0.750  0.71
9 As 0.750 0.500 0.000  0.71
10 Na 0.750 0.000 0.500  0.01
11 As 0.250 0.500 0.000  0.71
12 Na 0.250 0.000 0.500  0.01

(12)
VASP calculation (PBE-GGA) on NaAs after structural relaxation.

theoretical density: 2.3 g cm⁻³
VASP energy: -6.38 eV/f.u.
formation energy from the elements: -0.410 eV/f.u.

a = 12.291 Å, b = 12.291 Å, c = 3.705 Å
α = 90.00°, β = 90.00°, γ = 90.00°
Atoms (fractional coordinates):
1 Na 0.268 0.459 0.000
2 Na 0.768 0.959 0.500
3 Na 0.959 0.232 0.500
4 As 0.190 0.283 0.500
5 Na 0.541 0.268 0.000
6 As 0.310 0.217 0.000
7 As 0.283 0.810 0.500
8 Na 0.459 0.732 0.000
9 As 0.810 0.717 0.500
10 As 0.217 0.690 0.000
11 Na 0.232 0.041 0.500
12 As 0.690 0.783 0.000
13 As 0.783 0.310 0.000
14 As 0.717 0.190 0.500
15 Na 0.732 0.541 0.000
16 Na 0.041 0.768 0.500